# 1
VASP calculation (PBE-GGA) on a geometry-optimized SiWS2N structure.

abc: 4.7279 4.7279 3.2409
angles: 90.00 90.00 90.00
Closest atoms and distances in Å follow each position.
Positions (direct):
S1 0.5000 0.0000 0.0000  2 Si 2.36
Si1 0.0000 0.0000 0.0000  2 N 1.62
W1 0.5000 0.5000 0.5000  8 S 2.87
S2 0.0000 0.5000 0.0000  2 Si 2.36
N1 0.0000 0.0000 0.5000  2 Si 1.62

Computed properties:
Raw total energy ... -31.58 eV/f.u.
Space group ... No. 123
D(E_F) ... 3.1 states/eV/cell
Formation energy from raw total energies ... 65.1 kJ/mol of atoms

# 2
VASP calculation (PBE-GGA) on a geometry-optimized Ca2ZnGeN structure.

abc: 5.0863 5.0863 3.7888
angles: 90.00 90.00 90.00
Closest atoms and distances in Å follow each position.
Positions (direct):
Zn1 0.0000 0.0000 0.5000  2 N 1.89
Ca1 0.5000 0.0000 0.0000  2 N 2.54
Ge1 0.5000 0.5000 0.5000  8 Ca 3.17
N1 0.0000 0.0000 0.0000  2 Zn 1.89
Ca2 0.0000 0.5000 0.0000  2 N 2.54

Computed properties:
Raw total energy ... -20.82 eV/f.u.
Space group ... No. 123
D(E_F) ... 0.9 states/eV/cell
Formation energy from raw total energies ... -50.1 kJ/mol of atoms

# 3
VASP calculation (PBE-GGA) on a geometry-optimized RbTlGa2Br8 structure.

abc: 7.1844 7.1844 11.1120
angles: 71.14 71.14 60.00
Closest atoms and distances in Å follow each position.
Positions (direct):
Br1 0.5510 0.3215 0.1933  1 Ga 2.37
Rb1 0.5000 0.5000 0.5000  12 Br 3.87-4.15
Tl1 0.0000 0.0000 0.0000  6 Br 3.41
Br2 0.9342 0.5510 0.1933  1 Ga 2.37
Ga1 0.7566 0.7566 0.7303  4 Br 2.35-2.37
Br3 0.6785 0.0658 0.8067  1 Ga 2.37
Br4 0.8324 0.8324 0.5027  1 Ga 2.35
Br5 0.0658 0.4490 0.8067  1 Ga 2.37
Br6 0.3215 0.9342 0.1933  1 Ga 2.37
Br7 0.4490 0.6785 0.8067  1 Ga 2.37
Br8 0.1676 0.1676 0.4973  1 Ga 2.35
Ga2 0.2434 0.2434 0.2697  4 Br 2.35-2.37

Computed properties:
Raw total energy ... -35.29 eV/f.u.
Space group ... No. 148
D(E_F) ... 0.0 states/eV/cell
Formation energy from raw total energies ... -100.7 kJ/mol of atoms

# 4
VASP calculation (PBE-GGA) on a geometry-optimized CaMn2Ru structure.

abc: 4.1448 2.7154 6.0468
angles: 75.79 90.00 90.00
Closest atoms and distances in Å follow each position.
Positions (direct):
Mn1 0.0000 0.8750 0.0874  1 Mn 1.92
Ca1 0.5000 0.7500 0.7500  2 Ca 2.72, 4 Mn 2.99, 2 Ru 2.99
Mn2 0.0000 0.6250 0.4126  1 Mn 1.92
Ru1 0.5000 0.2500 0.2500  8 Mn 2.61-2.71, 2 Ru 2.72

Computed properties:
Raw total energy ... -27.34 eV/f.u.
Formation energy ... 0.569 eV per atom
Space group ... No. 10
D(E_F) ... 5.1 states/eV/cell

# 5
VASP calculation (PBE-GGA) on a geometry-optimized CsLiZrTe3 structure.

abc: 7.8144 7.9837 8.2966
angles: 118.76 90.00 90.00
Closest atoms and distances in Å follow each position.
Positions (direct):
Zr1 0.7500 0.9427 0.8854  5 Te 2.69-2.90
Te1 0.5000 0.7529 0.0000  2 Zr 2.90, 2 Li 2.98
Cs1 0.7500 0.2579 0.5158  4 Te 3.91-3.99
Te2 0.5000 0.2471 0.0000  2 Zr 2.90, 2 Li 2.98
Te3 0.2500 0.2420 0.4839  1 Zr 2.69, 1 Li 2.77
Te4 0.0000 0.7529 0.0000  2 Zr 2.90, 2 Li 2.98
Li1 0.7500 0.5678 0.1356  5 Te 2.77-2.98
Cs2 0.2500 0.7421 0.4842  4 Te 3.91-3.99
Te5 0.7500 0.7580 0.5161  1 Zr 2.69, 1 Li 2.77
Te6 0.0000 0.2471 0.0000  2 Zr 2.90, 2 Li 2.98
Zr2 0.2500 0.0573 0.1146  5 Te 2.69-2.90
Li2 0.2500 0.4322 0.8644  5 Te 2.77-2.98

Computed properties:
Raw total energy ... -26.55 eV/f.u.
Space group ... No. 63
Formation energy from raw total energies ... -93.5 kJ/mol of atoms

# 6
VASP calculation (PBE-GGA) on a geometry-optimized Ac2MgIr structure.

abc: 4.3638 7.8452 8.0094
angles: 90.00 105.81 90.00
Closest atoms and distances in Å follow each position.
Positions (direct):
Ir1 0.1923 0.7500 0.3846  1 Mg 2.76, 4 Ac 3.01
Ir2 0.8077 0.2500 0.6154  1 Mg 2.76, 4 Ac 3.01
Ac1 0.6453 0.5019 0.2905  3 Ir 3.01-3.19
Ac2 0.3547 0.0019 0.7095  3 Ir 3.01-3.19
Ac3 0.6453 0.9981 0.2905  3 Ir 3.01-3.19
Mg1 0.0129 0.7500 0.0258  1 Ir 2.76
Mg2 0.9871 0.2500 0.9742  1 Ir 2.76
Ac4 0.3547 0.4981 0.7095  3 Ir 3.01-3.19

Computed properties:
Raw total energy ... -20.42 eV/f.u.
Formation energy ... -0.436 eV per atom
Space group ... No. 63
D(E_F) ... 4.9 states/eV/cell

# 7
VASP calculation (PBE-GGA) on a geometry-optimized Sm7Dy2In2 structure.

abc: 3.6722 10.5787 10.5787
angles: 63.90 80.00 80.00
Closest atoms and distances in Å follow each position.
Positions (direct):
In1 0.5000 0.3373 0.6627  7 Sm 3.23-3.43
Dy1 0.2767 0.3089 0.1377  8 Sm 3.36-3.69, 2 Dy 3.67
Sm1 0.6054 0.4894 0.2998  3 In 3.39-3.43, 2 Dy 3.53, 7 Sm 3.58-3.70
In2 0.0000 0.7888 0.2112  8 Sm 3.16-3.39
Sm2 0.1507 0.1711 0.5275  2 In 3.23, 2 Dy 3.46, 2 Sm 3.56
Sm3 0.3946 0.7002 0.5106  3 In 3.39-3.43, 2 Dy 3.53, 7 Sm 3.58-3.70
Dy2 0.7233 0.8623 0.6911  8 Sm 3.36-3.69, 2 Dy 3.67
Sm4 0.1763 0.6695 0.9778  1 In 3.16, 3 Dy 3.36-3.41
Sm5 0.8237 0.0222 0.3305  1 In 3.16, 3 Dy 3.36-3.41
Sm6 0.5000 0.0317 0.9683  3 In 3.28-3.42, 2 Sm 3.67
Sm7 0.8493 0.4725 0.8289  2 In 3.23, 2 Dy 3.46, 2 Sm 3.56

Computed properties:
Raw total energy ... -48.14 eV/f.u.
Formation energy ... -0.039 eV per atom
Space group ... No. 44
D(E_F) ... 13.5 states/eV/cell

# 8
VASP calculation (PBE-GGA) on a geometry-optimized YTe2Se structure.

abc: 6.4852 6.4852 6.4852
angles: 140.72 140.72 56.76
Closest atoms and distances in Å follow each position.
Positions (direct):
Y1 0.5000 0.5000 0.0000  4 Te 3.08
Te1 0.0000 0.0000 0.0000  4 Y 3.08
Te2 0.2500 0.7500 0.5000  4 Se 3.08
Se1 0.7500 0.2500 0.5000  4 Te 3.08

Computed properties:
Raw total energy ... -18.65 eV/f.u.
Space group ... No. 119
D(E_F) ... 2.0 states/eV/cell
Formation energy from raw total energies ... -58.3 kJ/mol of atoms

# 9
VASP calculation (PBE-GGA) on a geometry-optimized LiRu2I structure.

abc: 4.3794 4.3794 4.3794
angles: 60.00 60.00 60.00
Closest atoms and distances in Å follow each position.
Positions (direct):
Li1 0.0000 0.0000 0.0000  8 Ru 2.68
Ru1 0.2500 0.2500 0.2500  4 I 2.68, 4 Li 2.68
Ru2 0.7500 0.7500 0.7500  4 Li 2.68, 4 I 2.68
I1 0.5000 0.5000 0.5000  8 Ru 2.68

Computed properties:
Raw total energy ... -20.19 eV/f.u.
Space group ... No. 225
D(E_F) ... 1.3 states/eV/cell
Formation energy from raw total energies ... 44.2 kJ/mol of atoms

# 10
VASP calculation (PBE-GGA) on a geometry-optimized KGa3Tc structure.

abc: 12.7379 8.4857 8.4857
angles: 107.23 134.87 45.13
Closest atoms and distances in Å follow each position.
Positions (direct):
Ga1 0.6198 0.0135 0.9882  2 Tc 2.55-2.56, 2 Ga 2.68-2.77
Ga2 0.9278 0.9861 0.2420  2 Tc 2.61-2.76, 3 Ga 2.68-2.89
K1 0.2500 0.4521 0.9521  1 K 2.88, 4 Ga 3.06-3.17
K2 0.7500 0.5479 0.0479  1 K 2.88, 4 Ga 3.06-3.17
Ga3 0.3438 0.6249 0.7346  5 Ga 2.71-3.01, 1 Tc 2.72
Tc1 0.6588 0.9348 0.4388  1 Tc 2.37, 3 Ga 2.55-2.61
K3 0.7500 0.2621 0.7621  1 K 2.88, 2 Ga 3.04
Ga4 0.1198 0.5118 0.4865  2 Tc 2.55-2.56, 2 Ga 2.68-2.77
Ga5 0.8802 0.4882 0.5135  2 Tc 2.55-2.56, 2 Ga 2.68-2.77
Ga6 0.1562 0.2346 0.1249  5 Ga 2.71-3.01, 1 Tc 2.72
Tc2 0.1588 0.0612 0.5652  1 Tc 2.37, 3 Ga 2.55-2.61
Ga7 0.4278 0.2580 0.5139  2 Tc 2.61-2.76, 3 Ga 2.68-2.89
Tc3 0.3412 0.0652 0.5612  1 Tc 2.37, 3 Ga 2.55-2.61
Ga8 0.0722 0.0139 0.7580  2 Tc 2.61-2.76, 3 Ga 2.68-2.89
Tc4 0.8412 0.9388 0.4348  1 Tc 2.37, 3 Ga 2.55-2.61
Ga9 0.6562 0.3751 0.2654  5 Ga 2.71-3.01, 1 Tc 2.72
Ga10 0.5722 0.7420 0.4861  2 Tc 2.61-2.76, 3 Ga 2.68-2.89
Ga11 0.3802 0.9865 0.0118  2 Tc 2.55-2.56, 2 Ga 2.68-2.77
Ga12 0.8438 0.7654 0.8751  5 Ga 2.71-3.01, 1 Tc 2.72
K4 0.2500 0.7379 0.2379  1 K 2.88, 2 Ga 3.04

Computed properties:
Raw total energy ... -20.01 eV/f.u.
Formation energy ... 0.107 eV per atom
Space group ... No. 15
D(E_F) ... 1.9 states/eV/cell

# 11
VASP calculation (PBE-GGA) on a geometry-optimized ZnMo structure.

abc: 4.0906 4.0906 4.9757
angles: 90.00 90.00 120.00
Closest atoms and distances in Å follow each position.
Positions (direct):
Mo1 0.0000 0.0000 0.5000  2 Mo 2.49, 6 Zn 2.67
Zn1 0.6667 0.3333 0.7500  6 Mo 2.67
Mo2 0.0000 0.0000 0.0000  2 Mo 2.49, 6 Zn 2.67
Zn2 0.3333 0.6667 0.2500  6 Mo 2.67

Computed properties:
Raw total energy ... -10.10 eV/f.u.
Formation energy ... 1.003 eV per atom
Space group ... No. 194
D(E_F) ... 4.0 states/eV/cell

# 12
VASP calculation (PBE-GGA) on a geometry-optimized ErCdRu structure.

abc: 3.0405 3.0405 7.8834
angles: 101.12 101.12 90.00
Closest atoms and distances in Å follow each position.
Positions (direct):
Ru1 0.7697 0.7697 0.5395  1 Er 2.50
Cd1 0.1456 0.1456 0.2912  4 Ru 2.86, 4 Cd 3.04, 1 Er 3.20
Er1 0.9347 0.9347 0.8694  1 Ru 2.50

Computed properties:
Raw total energy ... -12.69 eV/f.u.
Formation energy ... 0.688 eV per atom
Space group ... No. 107
D(E_F) ... 3.4 states/eV/cell

> Which value of raw total energy does entry 4 give?

-27.34 eV/f.u.

> Among the records above, which one has the lowest raw total energy?

Sm7Dy2In2

> Which value of raw total energy does entry 11 give?

-10.10 eV/f.u.

> Among the records above, which one has the lowest raw total energy?

Sm7Dy2In2